Entry from the Open Quantum Materials Database: crystalline BaTlHg at its relaxed geometry (PBE-GGA).

a = 5.441 Å, b = 5.441 Å, c = 5.441 Å
α = 60.00°, β = 60.00°, γ = 60.00°
Positions (direct):
Tl  0.750  0.750  0.750
Hg  0.000  0.000  0.000
Ba  0.250  0.250  0.250

Values from the calculation:
Excess energy over the best structure of this formula in the dataset = 131 meV per atom
SG = F-43m, No. 216
Calculated total energy = -0.136 Ry/atom